[1]
DFT (PBE) results for a relaxed MgHg2F6 crystal.

Properties
- energy above the lowest structure with this stoichiometry (eV per atom) = 0.000
- magnetization (μB per formula unit) = 0.00
- uncorrected formation energy (eV per atom) = -2.1086
- space group = P4_2/mnm, No. 136

Geometry as extended XYZ:
```
18
Lattice="-3.964 1.687 2.773 -3.027 -3.499 -2.200 2.395 -6.842 7.587" Properties=species:S:1:pos:R:3 pbc="T T T"
F -3.758 0.546 1.679
F -2.731 -7.073 6.861
F -4.421 -2.245 1.508
F -3.233 -2.359 -1.107
F -0.175 -6.410 6.652
F -2.243 -3.689 6.774
F -2.948 -1.675 4.541
F -0.761 -3.929 3.954
F -2.353 -4.966 1.385
F -3.835 -4.726 4.206
F -1.866 -1.582 1.298
F -1.648 -6.980 3.619
Hg 0.397 -1.133 1.256
Hg -2.695 -3.195 2.824
Hg -1.902 -5.460 5.336
Hg 1.999 -5.709 6.331
Mg 1.198 -3.421 3.793
Mg -3.496 -0.906 0.286
```


[2]
DFT (PBE) results for a relaxed La4AuS2Cl crystal.

Properties
- magnetization (μB per formula unit) = 0.00
- uncorrected formation energy (eV per atom) = -1.6656
- space group = P2/m, No. 10

Geometry as extended XYZ:
```
8
Lattice="-0.963 -2.708 -3.043 5.013 -4.803 2.688 -3.223 -4.349 4.891" Properties=species:S:1:pos:R:3 pbc="T T T"
Cl 0.895 -4.576 3.790
La 2.597 -6.120 1.745
La -1.771 -5.741 2.791
La 1.442 -6.914 5.697
La -0.616 -4.947 -1.161
S -3.223 -4.349 4.891
S -2.093 -3.529 0.924
Au -1.198 -8.105 4.714
```


[3]
DFT (PBE) results for a relaxed La4Bi2SbSe crystal.

Properties
- magnetization (μB per formula unit) = 0.00
- uncorrected formation energy (eV per atom) = -1.3433
- space group = P2/m, No. 10

Geometry as extended XYZ:
```
8
Lattice="-1.769 -2.799 -3.192 -3.581 -4.237 5.701 -7.234 2.994 1.383" Properties=species:S:1:pos:R:3 pbc="T T T"
La -4.463 -3.172 -1.372
La -8.120 -0.871 5.264
La -5.342 -3.798 2.978
La -7.241 -0.245 0.914
Se -2.675 -3.518 1.255
Bi -4.501 0.097 -0.905
Bi -7.234 2.994 1.383
Sb -5.407 -0.622 3.542
```


[4]
DFT (PBE) results for a relaxed Ac2NpSn3Ir4 crystal.

Properties
- energy relative to the elements (eV per formula unit) = -5.4
- magnetization (μB per formula unit) = 3.47
- space group = P-4m2, No. 115

Geometry as extended XYZ:
```
10
Lattice="4.557 0.000 0.000 0.000 4.557 0.000 0.000 0.000 11.327" Properties=species:S:1:pos:R:3 pbc="T T T"
Ir 2.278 0.000 7.227
Ir 2.278 2.278 0.000
Ir 0.000 0.000 0.000
Ir 0.000 2.278 4.099
Ac 0.000 2.278 8.654
Ac 2.278 0.000 2.673
Sn 0.000 0.000 5.663
Sn 0.000 2.278 1.422
Sn 2.278 0.000 9.904
Np 2.278 2.278 5.663
```


[5]
DFT (PBE) results for a relaxed Ho2HgO crystal.

Properties
- energy above the lowest structure with this stoichiometry (eV per atom) = 0.000
- magnetization (μB per formula unit) = 0.00
- uncorrected formation energy (eV per atom) = -1.5538
- space group = R-3m, No. 166

Geometry as extended XYZ:
```
4
Lattice="3.553 0.000 0.000 1.776 3.077 0.000 1.776 1.026 7.399" Properties=species:S:1:pos:R:3 pbc="T T T"
O 0.000 0.000 0.000
Hg 3.553 2.051 3.699
Ho 5.329 3.077 6.082
Ho 1.776 1.026 1.316
```


[6]
DFT (PBE) results for a relaxed Y2Ag2I crystal.

Properties
- energy above the lowest structure with this stoichiometry (eV per atom) = 0.066
- magnetization (μB per formula unit) = 0.00
- uncorrected formation energy (eV per atom) = -0.2946
- space group = P4/mbm, No. 127

Geometry as extended XYZ:
```
10
Lattice="-7.351 3.928 0.379 -2.217 -4.773 6.475 1.492 2.561 2.399" Properties=species:S:1:pos:R:3 pbc="T T T"
I 0.000 0.000 0.000
I -4.784 -0.422 3.427
Y -2.093 1.826 2.382
Y -6.154 2.960 3.698
Y -1.922 -1.243 5.554
Y -5.983 -0.110 6.870
Ag -7.820 0.458 4.375
Ag -4.867 1.859 1.043
Ag -4.701 -2.703 5.810
Ag -1.748 -1.303 2.478
```


Copy entry 1 word for word.
DFT (PBE) results for a relaxed MgHg2F6 crystal.

Properties
- energy above the lowest structure with this stoichiometry (eV per atom) = 0.000
- magnetization (μB per formula unit) = 0.00
- uncorrected formation energy (eV per atom) = -2.1086
- space group = P4_2/mnm, No. 136

Geometry as extended XYZ:
```
18
Lattice="-3.964 1.687 2.773 -3.027 -3.499 -2.200 2.395 -6.842 7.587" Properties=species:S:1:pos:R:3 pbc="T T T"
F -3.758 0.546 1.679
F -2.731 -7.073 6.861
F -4.421 -2.245 1.508
F -3.233 -2.359 -1.107
F -0.175 -6.410 6.652
F -2.243 -3.689 6.774
F -2.948 -1.675 4.541
F -0.761 -3.929 3.954
F -2.353 -4.966 1.385
F -3.835 -4.726 4.206
F -1.866 -1.582 1.298
F -1.648 -6.980 3.619
Hg 0.397 -1.133 1.256
Hg -2.695 -3.195 2.824
Hg -1.902 -5.460 5.336
Hg 1.999 -5.709 6.331
Mg 1.198 -3.421 3.793
Mg -3.496 -0.906 0.286
```


Question: Look up the magnetization of the sixth one.
Answer: 0.00 μB per formula unit


Please write out number 4 again, unchanged.
DFT (PBE) results for a relaxed Ac2NpSn3Ir4 crystal.

Properties
- energy relative to the elements (eV per formula unit) = -5.4
- magnetization (μB per formula unit) = 3.47
- space group = P-4m2, No. 115

Geometry as extended XYZ:
```
10
Lattice="4.557 0.000 0.000 0.000 4.557 0.000 0.000 0.000 11.327" Properties=species:S:1:pos:R:3 pbc="T T T"
Ir 2.278 0.000 7.227
Ir 2.278 2.278 0.000
Ir 0.000 0.000 0.000
Ir 0.000 2.278 4.099
Ac 0.000 2.278 8.654
Ac 2.278 0.000 2.673
Sn 0.000 0.000 5.663
Sn 0.000 2.278 1.422
Sn 2.278 0.000 9.904
Np 2.278 2.278 5.663
```


What did the third record say?
DFT (PBE) results for a relaxed La4Bi2SbSe crystal.

Properties
- magnetization (μB per formula unit) = 0.00
- uncorrected formation energy (eV per atom) = -1.3433
- space group = P2/m, No. 10

Geometry as extended XYZ:
```
8
Lattice="-1.769 -2.799 -3.192 -3.581 -4.237 5.701 -7.234 2.994 1.383" Properties=species:S:1:pos:R:3 pbc="T T T"
La -4.463 -3.172 -1.372
La -8.120 -0.871 5.264
La -5.342 -3.798 2.978
La -7.241 -0.245 0.914
Se -2.675 -3.518 1.255
Bi -4.501 0.097 -0.905
Bi -7.234 2.994 1.383
Sb -5.407 -0.622 3.542
```